Material: NbTl6F12
Method: DFT, PBE-GGA
State: optimized geometry

Properties
* energy: -4.63 eV per atom
* space-group type: R-3
* M_tot: 0.00 μB/f.u.
* D(E_F): 0.90 states/eV/atom

Lattice parameters (Å, degrees): 7.753 7.753 7.753 99.24 99.24 99.24
Positions (direct):
Nb  0.000  0.000  0.000
Tl  0.157  0.605  0.339
Tl  0.339  0.157  0.605
Tl  0.395  0.661  0.843
Tl  0.605  0.339  0.157
Tl  0.661  0.843  0.395
Tl  0.843  0.395  0.661
F  0.019  0.754  0.924
F  0.076  0.981  0.246
F  0.189  0.430  0.584
F  0.246  0.076  0.981
F  0.416  0.811  0.570
F  0.430  0.584  0.189
F  0.570  0.416  0.811
F  0.584  0.189  0.430
F  0.754  0.924  0.019
F  0.811  0.570  0.416
F  0.924  0.019  0.754
F  0.981  0.246  0.076

---

Material: BaCeCd2
Method: DFT, PBE-GGA
State: optimized geometry

Properties
* energy: -2.53 eV per atom
* energy above the most stable polymorph in this dataset: 89.9 meV per atom
* space-group type: Fm-3m
* M_tot: 1.21 μB/f.u.
* D(E_F): 2.70 states/eV/atom

Lattice parameters (Å, degrees): 5.725 5.725 5.725 60.00 60.00 60.00
Positions (direct):
Ba  0.000  0.000  0.000
Ce  0.500  0.500  0.500
Cd  0.250  0.250  0.250
Cd  0.750  0.750  0.750

---

Material: PmHoC
Method: DFT, PBE-GGA
State: optimized geometry

Properties
* energy: -6.14 eV per atom
* energy above the most stable polymorph in this dataset: 251.7 meV per atom
* space-group type: Fddd
* M_tot: 0.00 μB/f.u.
* D(E_F): 0.88 states/eV/atom

Lattice parameters (Å, degrees): 7.911 7.354 6.563 69.02 60.21 50.77
Positions (direct):
Pm  0.000  0.000  0.000
Pm  0.000  0.000  0.500
Pm  0.000  0.500  0.000
Pm  0.500  0.000  0.000
Ho  0.240  0.240  0.510
Ho  0.490  0.490  0.760
Ho  0.510  0.510  0.240
Ho  0.760  0.760  0.490
C  0.182  0.568  0.182
C  0.432  0.818  0.432
C  0.568  0.182  0.568
C  0.818  0.432  0.818